1.
Material: CaMn3
Method: DFT, PBE
State: relaxed

```
data_CaMn3
_chemical_formula_sum 'Ca1 Mn3'
_space_group_name_H-M_alt 'P 1'
_space_group_IT_number 1
_space_group_name_Hall 'P 1'
_cell_length_a 4.653
_cell_length_b 4.653
_cell_length_c 4.653
_cell_angle_alpha 60.00
_cell_angle_beta 60.00
_cell_angle_gamma 60.00
loop_
_atom_site_label
_atom_site_type_symbol
_atom_site_fract_x
_atom_site_fract_y
_atom_site_fract_z
Ca1 Ca 0.000 0.000 0.000
Mn1 Mn 0.250 0.250 0.250
Mn2 Mn 0.500 0.500 0.500
Mn3 Mn 0.750 0.750 0.750
```

Values from the calculation:
Space group: Fm-3m
Formation enthalpy at 0 K in eV per atom: 0.59
Total energy in eV per atom: -6.79

---

2.
Material: Ca3Mn
Method: DFT, PBE
State: relaxed

```
data_Ca3Mn
_chemical_formula_sum 'Ca6 Mn2'
_space_group_name_H-M_alt 'P 1'
_space_group_IT_number 1
_space_group_name_Hall 'P 1'
_cell_length_a 7.209
_cell_length_b 7.209
_cell_length_c 5.817
_cell_angle_alpha 90.00
_cell_angle_beta 90.00
_cell_angle_gamma 120.00
loop_
_atom_site_label
_atom_site_type_symbol
_atom_site_fract_x
_atom_site_fract_y
_atom_site_fract_z
Ca1 Ca 0.173 0.347 0.250
Ca2 Ca 0.173 0.827 0.250
Ca3 Ca 0.347 0.173 0.750
Ca4 Ca 0.653 0.827 0.250
Ca5 Ca 0.827 0.173 0.750
Ca6 Ca 0.827 0.653 0.750
Mn1 Mn 0.333 0.667 0.750
Mn2 Mn 0.667 0.333 0.250
```

Values from the calculation:
Space group: P6_3/mmc
Formation enthalpy at 0 K in eV per atom: 0.35
Total energy in eV per atom: -3.45

---

3.
Material: CaMn
Method: DFT, PBE
State: relaxed

```
data_CaMn
_chemical_formula_sum 'Ca8 Mn8'
_space_group_name_H-M_alt 'P 1'
_space_group_IT_number 1
_space_group_name_Hall 'P 1'
_cell_length_a 10.559
_cell_length_b 10.559
_cell_length_c 3.920
_cell_angle_alpha 90.00
_cell_angle_beta 90.00
_cell_angle_gamma 90.00
loop_
_atom_site_label
_atom_site_type_symbol
_atom_site_fract_x
_atom_site_fract_y
_atom_site_fract_z
Ca1 Ca 0.014 0.768 0.000
Ca2 Ca 0.232 0.014 0.000
Ca3 Ca 0.298 0.331 0.500
Ca4 Ca 0.331 0.702 0.500
Ca5 Ca 0.669 0.298 0.500
Ca6 Ca 0.702 0.669 0.500
Ca7 Ca 0.768 0.986 0.000
Ca8 Ca 0.986 0.232 0.000
Mn1 Mn 0.069 0.578 0.500
Mn2 Mn 0.119 0.490 0.000
Mn3 Mn 0.422 0.069 0.500
Mn4 Mn 0.490 0.881 0.000
Mn5 Mn 0.510 0.119 0.000
Mn6 Mn 0.578 0.931 0.500
Mn7 Mn 0.881 0.510 0.000
Mn8 Mn 0.931 0.422 0.500
```

Values from the calculation:
Space group: P4/m
Formation enthalpy at 0 K in eV per atom: 0.44
Total energy in eV per atom: -5.15

---

4.
Material: CaMn
Method: DFT, PBE
State: relaxed

```
data_CaMn
_chemical_formula_sum 'Ca2 Mn2'
_space_group_name_H-M_alt 'P 1'
_space_group_IT_number 1
_space_group_name_Hall 'P 1'
_cell_length_a 5.975
_cell_length_b 5.975
_cell_length_c 5.479
_cell_angle_alpha 107.96
_cell_angle_beta 107.96
_cell_angle_gamma 32.23
loop_
_atom_site_label
_atom_site_type_symbol
_atom_site_fract_x
_atom_site_fract_y
_atom_site_fract_z
Ca1 Ca 0.100 0.100 0.314
Ca2 Ca 0.900 0.900 0.686
Mn1 Mn 0.338 0.338 0.135
Mn2 Mn 0.662 0.662 0.865
```

Values from the calculation:
Space group: C2/m
Formation enthalpy at 0 K in eV per atom: 0.47
Total energy in eV per atom: -5.11

---

5.
Material: CaMn2
Method: DFT, PBE
State: relaxed

```
data_CaMn2
_chemical_formula_sum 'Ca1 Mn2'
_space_group_name_H-M_alt 'P 1'
_space_group_IT_number 1
_space_group_name_Hall 'P 1'
_cell_length_a 3.124
_cell_length_b 3.124
_cell_length_c 7.223
_cell_angle_alpha 90.00
_cell_angle_beta 90.00
_cell_angle_gamma 120.00
loop_
_atom_site_label
_atom_site_type_symbol
_atom_site_fract_x
_atom_site_fract_y
_atom_site_fract_z
Ca1 Ca 0.000 0.000 0.000
Mn1 Mn 0.333 0.667 0.360
Mn2 Mn 0.667 0.333 0.640
```

Values from the calculation:
Space group: P-3m1
Formation enthalpy at 0 K in eV per atom: 0.78
Total energy in eV per atom: -6.00

---

6.
Material: Ca2Mn
Method: DFT, PBE
State: relaxed

```
data_Ca2Mn
_chemical_formula_sum 'Ca4 Mn2'
_space_group_name_H-M_alt 'P 1'
_space_group_IT_number 1
_space_group_name_Hall 'P 1'
_cell_length_a 9.459
_cell_length_b 9.459
_cell_length_c 5.368
_cell_angle_alpha 90.00
_cell_angle_beta 90.00
_cell_angle_gamma 157.56
loop_
_atom_site_label
_atom_site_type_symbol
_atom_site_fract_x
_atom_site_fract_y
_atom_site_fract_z
Ca1 Ca 0.077 0.923 0.750
Ca2 Ca 0.203 0.797 0.250
Ca3 Ca 0.797 0.203 0.750
Ca4 Ca 0.923 0.077 0.250
Mn1 Mn 0.445 0.555 0.750
Mn2 Mn 0.555 0.445 0.250
```

Values from the calculation:
Space group: Cmcm
Formation enthalpy at 0 K in eV per atom: 0.39
Total energy in eV per atom: -4.00